# 1
Compound: Ho6AgRh3
Source: Alexandria
Functional: PBE
Structure: relaxed

The calculation puts the energy relative to the elements at -0.58 eV per atom. The value obtained for the theoretical density is 9.26 g cm⁻³.

The structure belongs to space group P2_1/m (No. 11); the cell edges are 10.691, 4.202 and 11.981 Å and the angles 90.00°, 110.44° and 90.00°. The asymmetric unit holds Ho at (0.026, 0.250, 0.390), Ho at (0.095, 0.250, 0.927), Ho at (0.228, 0.750, 0.303), Ho at (0.322, 0.750, 0.792), Ho at (0.377, 0.250, 0.558), Ho at (0.384, 0.750, 0.099), Ag at (0.427, 0.250, 0.298), Rh at (0.083, 0.250, 0.171), Rh at (0.193, 0.750, 0.526) and Rh at (0.383, 0.250, 0.953).

# 2
Compound: Ho5Ag2Rh2
Source: Alexandria
Functional: PBE
Structure: relaxed

The calculation puts the energy relative to the elements at -0.55 eV per atom. The value obtained for the theoretical density is 9.57 g cm⁻³.

The structure belongs to space group Cmce (No. 64); the cell edges are 15.599, 7.367 and 7.530 Å and the angles 90.00°, 90.00° and 90.00°. The asymmetric unit holds Ho at (0.000, 0.000, 0.000), Ho at (0.126, 0.170, 0.328), Ag at (0.212, 0.000, 0.000) and Rh at (0.000, 0.134, 0.635).

# 3
Compound: HoAgRh
Source: Alexandria
Functional: PBE
Structure: relaxed

The calculation puts the energy relative to the elements at -0.43 eV per atom. The value obtained for the theoretical density is 10.65 g cm⁻³.

The structure belongs to space group I4mm (No. 107); the cell edges are 3.526, 3.526 and 9.418 Å and the angles 90.00°, 90.00° and 90.00°. The asymmetric unit holds Ho at (0.000, 0.000, 0.000), Ag at (0.000, 0.000, 0.686) and Rh at (0.000, 0.000, 0.350).

# 4
Compound: Ho6AgRh
Source: Alexandria
Functional: PBE
Structure: relaxed

The calculation puts the energy relative to the elements at -0.12 eV per atom. The value obtained for the theoretical density is 8.09 g cm⁻³.

The structure belongs to space group P-1 (No. 2); the cell edges are 6.698, 6.702 and 7.422 Å and the angles 90.06°, 116.76° and 119.94°. The asymmetric unit holds Ho at (0.023, 0.078, 0.255), Ho at (0.311, 0.732, 0.255), Ho at (0.322, 0.555, 0.745), Ag at (0.500, 0.000, 0.000) and Rh at (0.500, 0.500, 0.500).

# 5
Compound: Ho8Ag2Rh
Source: Alexandria
Functional: PBE
Structure: relaxed

The calculation puts the energy relative to the elements at -0.27 eV per atom. The value obtained for the theoretical density is 9.33 g cm⁻³.

The structure belongs to space group C2/m (No. 12); the cell edges are 17.335, 5.197 and 6.786 Å and the angles 90.00°, 107.53° and 90.00°. The asymmetric unit holds Ho at (0.027, 0.000, 0.288), Ho at (0.090, 0.500, 0.934), Ho at (0.160, 0.500, 0.470), Ho at (0.200, 0.000, 0.808), Ag at (0.184, 0.000, 0.218) and Rh at (0.000, 0.500, 0.500).

# 6
Compound: HoAgRh
Source: Alexandria
Functional: PBE
Structure: relaxed

The calculation puts the energy relative to the elements at -0.51 eV per atom. The value obtained for the theoretical density is 10.70 g cm⁻³.

The structure belongs to space group P6_3/mmc (No. 194); the cell edges are 4.8852, 4.8852 and 5.6394 Å and the angles 90.00°, 90.00° and 120.00°. The asymmetric unit holds Ho at (0.3333, 0.6667, 0.2500), Ag at (0.0000, 0.0000, 0.0000) and Rh at (0.3333, 0.6667, 0.7500).

# 7
Compound: Ho4Ag3Rh
Source: Alexandria
Functional: PBE
Structure: relaxed

The calculation puts the energy relative to the elements at -0.47 eV per atom. The value obtained for the theoretical density is 9.95 g cm⁻³.

The structure belongs to space group P4/mmm (No. 123); the cell edges are 3.542, 3.542 and 14.454 Å and the angles 90.00°, 90.00° and 90.00°. The asymmetric unit holds Ho at (0.000, 0.000, 0.113), Ho at (0.000, 0.000, 0.371), Ag at (0.500, 0.500, 0.245), Ag at (0.500, 0.500, 0.500) and Rh at (0.500, 0.500, 0.000).

# 8
Compound: Ho3Ag2Rh2
Source: Alexandria
Functional: PBE
Structure: relaxed

The calculation puts the energy relative to the elements at -0.43 eV per atom. The value obtained for the theoretical density is 9.12 g cm⁻³.

The structure belongs to space group C2/m (No. 12); the cell edges are 8.328, 4.825 and 8.745 Å and the angles 90.00°, 108.26° and 90.00°. The asymmetric unit holds Ho at (0.000, 0.000, 0.000), Ho at (0.218, 0.000, 0.653), Ag at (0.107, 0.500, 0.820) and Rh at (0.106, 0.000, 0.319).

# 9
Compound: Ho6AgRh3
Source: Alexandria
Functional: PBE
Structure: relaxed

The calculation puts the energy relative to the elements at -0.55 eV per atom. The value obtained for the theoretical density is 9.30 g cm⁻³.

The structure belongs to space group Cmc2_1 (No. 36); the cell edges are 10.408, 14.574 and 6.619 Å and the angles 90.00°, 90.00° and 90.00°. The asymmetric unit holds Ho at (0.000, 0.030, 0.000), Ho at (0.000, 0.256, 0.884), Ho at (0.182, 0.297, 0.448), Ho at (0.187, 0.464, 0.896), Ag at (0.000, 0.159, 0.322), Rh at (0.000, 0.412, 0.619) and Rh at (0.150, 0.116, 0.689).

# 10
Compound: Ho5Ag4Rh
Source: Alexandria
Functional: PBE
Structure: relaxed

The calculation puts the energy relative to the elements at -0.44 eV per atom. The value obtained for the theoretical density is 9.87 g cm⁻³.

The structure belongs to space group P4/mmm (No. 123); the cell edges are 3.555, 3.555 and 18.099 Å and the angles 90.00°, 90.00° and 90.00°. The asymmetric unit holds Ho at (0.000, 0.000, 0.000), Ho at (0.000, 0.000, 0.205), Ho at (0.000, 0.000, 0.410), Ag at (0.500, 0.500, 0.102), Ag at (0.500, 0.500, 0.306) and Rh at (0.500, 0.500, 0.500).

# 11
Compound: Ho5AgRh4
Source: Alexandria
Functional: PBE
Structure: relaxed

The calculation puts the energy relative to the elements at -0.79 eV per atom. The value obtained for the theoretical density is 10.82 g cm⁻³.

The structure belongs to space group P4/mmm (No. 123); the cell edges are 3.423, 3.423 and 17.606 Å and the angles 90.00°, 90.00° and 90.00°. The asymmetric unit holds Ho at (0.000, 0.000, 0.000), Ho at (0.000, 0.000, 0.194), Ho at (0.000, 0.000, 0.385), Ag at (0.500, 0.500, 0.500), Rh at (0.500, 0.500, 0.097) and Rh at (0.500, 0.500, 0.293).

# 12
Compound: HoAgRh2
Source: Alexandria
Functional: PBE
Structure: relaxed

The calculation puts the energy relative to the elements at -0.44 eV per atom. The value obtained for the theoretical density is 11.44 g cm⁻³.

The structure belongs to space group P4/mmm (No. 123); the cell edges are 4.182, 4.182 and 3.973 Å and the angles 90.00°, 90.00° and 90.00°. The asymmetric unit holds Ho at (0.000, 0.000, 0.000), Ag at (0.500, 0.500, 0.000) and Rh at (0.000, 0.500, 0.500).

# 13
Compound: Ho3Ag2Rh
Source: Alexandria
Functional: PBE
Structure: relaxed

The calculation puts the energy relative to the elements at -0.51 eV per atom. The value obtained for the theoretical density is 10.11 g cm⁻³.

The structure belongs to space group P-3m1 (No. 164); the cell edges are 4.9981, 4.9981 and 6.1774 Å and the angles 90.00°, 90.00° and 120.00°. The asymmetric unit holds Ho at (0.0000, 0.0000, 0.0000), Ho at (0.3333, 0.6667, 0.6489), Ag at (0.3333, 0.6667, 0.1531) and Rh at (0.0000, 0.0000, 0.5000).

# 14
Compound: Ho3Ag2Rh
Source: Alexandria
Functional: PBE
Structure: relaxed

The calculation puts the energy relative to the elements at -0.35 eV per atom. The value obtained for the theoretical density is 8.92 g cm⁻³.

The structure belongs to space group C2/c (No. 15); the cell edges are 13.986, 5.764 and 7.818 Å and the angles 90.00°, 106.17° and 90.00°. The asymmetric unit holds Ho at (0.000, 0.002, 0.250), Ho at (0.140, 0.498, 0.070), Ag at (0.182, 0.002, 0.591) and Rh at (0.000, 0.498, 0.750).

# 15
Compound: Ho3AgRh2
Source: Alexandria
Functional: PBE
Structure: relaxed

The calculation puts the energy relative to the elements at -0.72 eV per atom. The value obtained for the theoretical density is 10.55 g cm⁻³.

The structure belongs to space group P4/mmm (No. 123); the cell edges are 3.428, 3.428 and 10.828 Å and the angles 90.00°, 90.00° and 90.00°. The asymmetric unit holds Ho at (0.000, 0.000, 0.000), Ho at (0.000, 0.000, 0.312), Ag at (0.500, 0.500, 0.500) and Rh at (0.500, 0.500, 0.162).

# 16
Compound: HoAgRh
Source: Alexandria
Functional: PBE
Structure: relaxed

The calculation puts the energy relative to the elements at -0.36 eV per atom. The value obtained for the theoretical density is 10.27 g cm⁻³.

The structure belongs to space group P-6m2 (No. 187); the cell edges are 4.5869, 4.5869 and 3.3343 Å and the angles 90.00°, 90.00° and 120.00°. The asymmetric unit holds Ho at (0.0000, 0.0000, 0.0000), Ag at (0.6667, 0.3333, 0.5000) and Rh at (0.3333, 0.6667, 0.5000).

# 17
Compound: Ho8Ag2Rh
Source: Alexandria
Functional: PBE
Structure: relaxed

The calculation puts the energy relative to the elements at -0.21 eV per atom. The value obtained for the theoretical density is 8.97 g cm⁻³.

The structure belongs to space group Cm (No. 8); the cell edges are 7.484, 15.943 and 5.995 Å and the angles 90.00°, 122.03° and 90.00°. The asymmetric unit holds Ho at (0.000, 0.000, 0.000), Ho at (0.000, 0.114, 0.522), Ho at (0.044, 0.383, 0.884), Ho at (0.049, 0.500, 0.364), Ho at (0.278, 0.194, 0.217), Ag at (0.280, 0.281, 0.718) and Rh at (0.278, 0.000, 0.522).

# 18
Compound: Ho7AgRh4
Source: Alexandria
Functional: PBE
Structure: relaxed

The calculation puts the energy relative to the elements at -0.50 eV per atom. The value obtained for the theoretical density is 9.77 g cm⁻³.

The structure belongs to space group C2/m (No. 12); the cell edges are 13.576, 5.357 and 9.594 Å and the angles 90.00°, 125.38° and 90.00°. The asymmetric unit holds Ho at (0.000, 0.000, 0.000), Ho at (0.075, 0.500, 0.363), Ho at (0.177, 0.000, 0.627), Ho at (0.211, 0.500, 0.878), Ag at (0.000, 0.500, 0.000), Rh at (0.067, 0.000, 0.779) and Rh at (0.205, 0.000, 0.345).

# 19
Compound: HoAgRh
Source: Alexandria
Functional: PBE
Structure: relaxed

The calculation puts the energy relative to the elements at -0.42 eV per atom. The value obtained for the theoretical density is 10.39 g cm⁻³.

The structure belongs to space group Immm (No. 71); the cell edges are 3.395, 5.575 and 12.685 Å and the angles 90.00°, 90.00° and 90.00°. The asymmetric unit holds Ho at (0.000, 0.000, 0.185), Ag at (0.000, 0.254, 0.500) and Rh at (0.000, 0.500, 0.141).

# 20
Compound: Ho4AgRuRh2
Source: Alexandria
Functional: PBE
Structure: relaxed

The calculation puts the energy relative to the elements at -0.63 eV per atom. The value obtained for the theoretical density is 10.86 g cm⁻³.

The structure belongs to space group R-3m (No. 166, hexagonal axes); the cell edges are 4.8793, 4.8793 and 23.9091 Å and the angles 90.00°, 90.00° and 120.00°. The asymmetric unit holds Ho at (0.0000, 0.0000, 0.1204), Ho at (0.0000, 0.0000, 0.3715), Ag at (0.0000, 0.0000, 0.5000), Ru at (0.0000, 0.0000, 0.0000) and Rh at (0.0000, 0.0000, 0.2494).

# 21
Compound: Ho4AgRu2Rh
Source: Alexandria
Functional: PBE
Structure: relaxed

The calculation puts the energy relative to the elements at -0.52 eV per atom. The value obtained for the theoretical density is 10.91 g cm⁻³.

The structure belongs to space group R-3m (No. 166, hexagonal axes); the cell edges are 4.8725, 4.8725 and 23.8172 Å and the angles 90.00°, 90.00° and 120.00°. The asymmetric unit holds Ho at (0.0000, 0.0000, 0.1217), Ho at (0.0000, 0.0000, 0.3722), Ag at (0.0000, 0.0000, 0.5000), Ru at (0.0000, 0.0000, 0.2497) and Rh at (0.0000, 0.0000, 0.0000).

# 22
Compound: HoAgSbRh
Source: Alexandria
Functional: PBE
Structure: relaxed

Its electronic total energy is -5.237 eV/atom. The value obtained for the theoretical density is 10.40 g cm⁻³.

The structure belongs to space group F-43m (No. 216); the cell edges are 6.824, 6.824 and 6.824 Å and the angles 90.00°, 90.00° and 90.00°. The asymmetric unit holds Ho at (0.000, 0.000, 0.000), Ag at (0.250, 0.250, 0.750), Sb at (0.000, 0.000, 0.500) and Rh at (0.250, 0.250, 0.250).

# 23
Compound: Ho2Si2AgRh5
Source: Alexandria
Functional: PBE
Structure: relaxed

Its electronic total energy is -6.803 eV/atom. The value obtained for the theoretical density is 10.09 g cm⁻³.

The structure belongs to space group P4/mbm (No. 127); the cell edges are 9.798, 9.798 and 3.459 Å and the angles 90.00°, 90.00° and 90.00°. The asymmetric unit holds Ho at (0.174, 0.326, 0.000), Si at (0.125, 0.625, 0.000), Ag at (0.000, 0.000, 0.000), Rh at (0.000, 0.500, 0.500) and Rh at (0.069, 0.784, 0.500).